# LiTiAu2 PBE-GGA optimized geometry
data_LiTiAu2
_space_group_name_H-M_alt 'P 4/m m m'
_space_group_IT_number 123
_space_group_name_Hall '-P 4 2'
_cell_length_a 4.860
_cell_length_b 4.860
_cell_length_c 2.815
_cell_angle_alpha 90.00
_cell_angle_beta 90.00
_cell_angle_gamma 90.00
loop_
_atom_site_label
_atom_site_type_symbol
_atom_site_fract_x
_atom_site_fract_y
_atom_site_fract_z
Li1 Li 0.000 0.000 0.000
Ti1 Ti 0.500 0.500 0.000
Au1 Au 0.000 0.500 0.500
# Energy (eV per atom): -4.542
# Fermi-level density of states (states/eV per atom): 0.49
# Calculated formation energy (eV/atom): -0.45
# ρ (g/cm³): 11.208